## Nd2Si2SnRu5 (PBE)

Data for crystalline Nd2Si2SnRu5 at its relaxed geometry.

Results
E_form (uncorrected) (eV per formula unit): -5.468

a b c (Å): 10.2622 10.2622 3.2857
angles (deg): 90.00 90.00 90.00
Space group P4/mbm (No. 127)
Asymmetric unit:
Nd 0.1751 0.3249 0.0000
Si 0.1239 0.6239 0.0000
Sn 0.0000 0.0000 0.0000
Ru 0.0000 0.5000 0.5000
Ru 0.0672 0.7853 0.5000